No. 1
NaZrTa2Ru | PBE-GGA | optimized geometry

Lattice parameters (Å, degrees): 5.0566 5.0566 4.8002 90.00 90.00 90.00
Sites, in units of the cell vectors:
Na 0.0000 0.0000 0.0000
Zr 0.5000 0.5000 0.5000
Ta 0.0000 0.5000 0.5000
Ta 0.5000 0.0000 0.5000
Ru 0.5000 0.5000 0.0000

Summary:
For the magnetic moment, the calculation gives 0.00 μB/f.u. The formation energy is 1736 meV/atom.

---

No. 2
TlPSeN2 | PBE-GGA | optimized geometry

Lattice parameters (Å, degrees): 3.6781 3.6781 5.9800 90.00 90.00 90.00
Sites, in units of the cell vectors:
Tl 0.0000 0.0000 0.0000
P 0.5000 0.5000 0.5000
Se 0.5000 0.5000 0.0000
N 0.0000 0.5000 0.5000
N 0.5000 0.0000 0.5000

Summary:
For the magnetic moment, the calculation gives 0.53 μB/f.u. Its energy relative to the elements, uncorrected is 1.00 eV/atom. Its energy above the most stable polymorph in this dataset is 0 meV per atom.

---

No. 3
Cs2Na2PuS4 | PBE-GGA | optimized geometry

Lattice parameters (Å, degrees): 8.3229 8.3229 8.1528 109.93 109.93 30.29
Sites, in units of the cell vectors:
Cs 0.1373 0.1373 0.0535
Cs 0.8627 0.8627 0.9465
Na 0.3215 0.3215 0.5255
Na 0.6785 0.6785 0.4745
Pu 0.0000 0.0000 0.5000
S 0.1813 0.1813 0.6632
S 0.4954 0.4954 0.7119
S 0.5046 0.5046 0.2881
S 0.8187 0.8187 0.3368

Summary:
For the magnetic moment, the calculation gives 4.00 μB/f.u. Its energy relative to the elements, uncorrected is -1.22 eV/atom.

---

No. 4
NaLuAg2 | PBE-GGA | optimized geometry

Lattice parameters (Å, degrees): 5.0013 5.0013 5.0013 60.00 60.00 60.00
Sites, in units of the cell vectors:
Na 0.0000 0.0000 0.0000
Lu 0.5000 0.5000 0.5000
Ag 0.2500 0.2500 0.2500
Ag 0.7500 0.7500 0.7500

Summary:
For the magnetic moment, the calculation gives 0.00 μB/f.u. The formation energy is -83 meV/atom. Its energy above the most stable polymorph in this dataset is 74 meV per atom.

---

No. 5
AcO4 | PBE-GGA | optimized geometry

Lattice parameters (Å, degrees): 4.7363 4.7363 4.7363 90.00 90.00 90.00
Sites, in units of the cell vectors:
Ac 0.0000 0.0000 0.0000
O 0.0000 0.0000 0.5000
O 0.0000 0.5000 0.0000
O 0.5000 0.0000 0.0000
O 0.5000 0.5000 0.5000

Summary:
For the magnetic moment, the calculation gives 5.00 μB/f.u. Its energy relative to the elements, uncorrected is -0.34 eV/atom.

---

No. 6
AcAgBiPb | PBE-GGA | optimized geometry

Lattice parameters (Å, degrees): 5.6020 5.6020 5.6020 60.00 60.00 60.00
Sites, in units of the cell vectors:
Ac 0.0000 0.0000 0.0000
Ag 0.2500 0.2500 0.2500
Bi 0.7500 0.7500 0.7500
Pb 0.5000 0.5000 0.5000

Summary:
For the magnetic moment, the calculation gives 0.00 μB/f.u. The formation energy is -284 meV/atom.

---

No. 7
Tb4NdTh2 | PBE-GGA | optimized geometry

Lattice parameters (Å, degrees): 6.1053 3.5707 11.2822 90.00 99.17 90.00
Sites, in units of the cell vectors:
Tb 0.0844 0.0000 0.2264
Tb 0.4052 0.5000 0.7401
Tb 0.5948 0.5000 0.2599
Tb 0.9156 0.0000 0.7736
Nd 0.5000 0.0000 0.0000
Th 0.0000 0.5000 0.5000
Th 0.5000 0.0000 0.5000

Summary:
For the magnetic moment, the calculation gives 0.00 μB/f.u. The formation energy is 175 meV/atom. Its energy above the most stable polymorph in this dataset is 0 meV per atom.

---

No. 8
GdHoMn4 | PBE-GGA | optimized geometry

Lattice parameters (Å, degrees): 5.1047 5.1047 5.1047 60.00 60.00 60.00
Sites, in units of the cell vectors:
Gd 0.0000 0.0000 0.0000
Ho 0.7500 0.7500 0.7500
Mn 0.3751 0.3751 0.3751
Mn 0.3751 0.3751 0.8748
Mn 0.3751 0.8748 0.3751
Mn 0.8748 0.3751 0.3751

Summary:
For the magnetic moment, the calculation gives 8.72 μB/f.u. The formation energy is 175 meV/atom.

---

- Number 5 is which compound?
  AcO4

---

- The highest magnetic moment belongs to which entry?
  GdHoMn4

---

- What is the formula in the fifth record?
  AcO4